# 1
PuNiAs2O8: optimized geometry, PBE+U.

```
PuNiAs2O8
1.0
5.653 0.000 0.000
-2.827 4.896 0.000
0.000 0.000 6.059
Pu Ni As O
1 1 2 8
direct
0.000 0.000 0.000
0.000 0.000 0.500
0.333 0.667 0.647
0.667 0.333 0.353
0.165 0.330 0.749
0.165 0.835 0.749
0.330 0.165 0.251
0.333 0.667 0.375
0.667 0.333 0.625
0.670 0.835 0.749
0.835 0.165 0.251
0.835 0.670 0.251
```

Output
**D(E_F)**: 2.00 states/eV/f.u.



# 2
PuNi2AsO6: optimized geometry, PBE+U.

```
PuNi2AsO6
1.0
5.722 0.000 0.000
0.000 5.722 0.000
0.000 0.000 4.158
Pu Ni As O
1 2 1 6
direct
0.000 0.000 0.000
0.000 0.500 0.140
0.500 0.000 0.140
0.500 0.500 0.954
0.000 0.000 0.513
0.275 0.275 0.070
0.275 0.725 0.070
0.500 0.500 0.554
0.725 0.275 0.070
0.725 0.725 0.070
```

Output
**D(E_F)**: 5.98 states/eV/f.u.



# 3
RbNiAs2O8: optimized geometry, PBE+U.

```
RbNiAs2O8
1.0
5.674 0.000 0.000
-2.837 4.914 0.000
0.000 0.000 7.266
Rb Ni As O
1 1 2 8
direct
0.000 0.000 0.000
0.000 0.000 0.500
0.333 0.667 0.592
0.667 0.333 0.408
0.167 0.337 0.672
0.169 0.833 0.672
0.333 0.667 0.349
0.337 0.169 0.328
0.663 0.831 0.672
0.667 0.333 0.651
0.831 0.167 0.328
0.833 0.663 0.328
```

Output
**D(E_F)**: 8.10 states/eV/f.u.



# 4
RbNiAsO4: optimized geometry, PBE+U.

```
RbNiAsO4
1.0
5.093 0.000 0.000
0.000 5.802 0.000
-1.909 0.000 7.638
Rb Ni As O
2 2 2 8
direct
0.202 0.250 0.117
0.798 0.750 0.883
0.132 0.750 0.509
0.868 0.250 0.491
0.382 0.250 0.693
0.618 0.750 0.307
0.144 0.024 0.674
0.144 0.476 0.674
0.378 0.750 0.118
0.489 0.250 0.502
0.511 0.750 0.498
0.622 0.250 0.882
0.856 0.524 0.326
0.856 0.976 0.326
```

Output
**D(E_F)**: 0.00 states/eV/f.u.



# 5
Rb3NiAs2O8: optimized geometry, PBE+U.

```
Rb3NiAs2O8
1.0
5.833 0.000 0.000
-2.917 5.052 0.000
0.000 0.000 7.965
Rb Ni As O
3 1 2 8
direct
0.000 0.000 0.000
0.333 0.667 0.714
0.667 0.333 0.286
0.000 0.000 0.500
0.333 0.667 0.278
0.667 0.333 0.722
0.170 0.341 0.342
0.170 0.830 0.342
0.333 0.667 0.063
0.341 0.170 0.658
0.659 0.830 0.342
0.667 0.333 0.937
0.830 0.170 0.658
0.830 0.659 0.658
```

Output
**D(E_F)**: 10.05 states/eV/f.u.



# 6
NiAsRhO5: optimized geometry, PBE+U.

```
NiAsRhO5
1.0
3.124 -4.431 0.000
3.124 4.431 0.000
-2.696 0.000 6.767
Ni As Rh O
2 2 2 10
direct
0.188 0.812 0.750
0.812 0.188 0.250
0.187 0.813 0.250
0.813 0.187 0.750
0.500 0.500 0.000
0.500 0.500 0.500
0.098 0.239 0.940
0.153 0.545 0.357
0.239 0.098 0.440
0.403 0.597 0.750
0.455 0.847 0.143
0.545 0.153 0.857
0.597 0.403 0.250
0.761 0.902 0.560
0.847 0.455 0.643
0.902 0.761 0.060
```

Output
**D(E_F)**: 0.88 states/eV/f.u.



# 7
NiAs2RhO8: optimized geometry, PBE+U.

```
NiAs2RhO8
1.0
5.481 0.000 0.000
-2.741 4.747 0.000
0.000 0.000 5.874
Ni As Rh O
1 2 1 8
direct
0.000 0.000 0.000
0.333 0.667 0.186
0.667 0.333 0.814
0.000 0.000 0.500
0.155 0.310 0.265
0.155 0.845 0.265
0.310 0.155 0.735
0.333 0.667 0.904
0.667 0.333 0.096
0.690 0.845 0.265
0.845 0.155 0.735
0.845 0.690 0.735
```

Output
**D(E_F)**: 5.12 states/eV/f.u.



# 8
NiAsRhO6: optimized geometry, PBE+U.

```
NiAsRhO6
1.0
5.018 0.000 0.000
-2.509 4.345 0.000
0.000 0.000 8.757
Ni As Rh O
2 2 2 12
direct
0.000 0.000 0.000
0.000 0.000 0.500
0.333 0.667 0.250
0.667 0.333 0.750
0.333 0.667 0.750
0.667 0.333 0.250
0.017 0.360 0.133
0.017 0.657 0.367
0.343 0.360 0.367
0.343 0.983 0.133
0.360 0.017 0.633
0.360 0.343 0.867
0.640 0.657 0.133
0.640 0.983 0.367
0.657 0.017 0.867
0.657 0.640 0.633
0.983 0.343 0.633
0.983 0.640 0.867
```

Output
**D(E_F)**: 3.68 states/eV/f.u.



Number 1: raw total energy -6.957 eV/atom. Number 2: raw total energy -6.642 eV/atom. Number 3: raw total energy -5.238 eV/atom. Number 4: raw total energy -5.359 eV/atom. Number 5: raw total energy -5.247 eV/atom. Number 6: raw total energy -5.804 eV/atom. Number 7: raw total energy -5.709 eV/atom. Number 8: raw total energy -5.824 eV/atom.